Below is a geometry-optimized CuNiS structure, with properties calculated at the PBE level.

Output
For the energy above the most stable polymorph in this dataset, the calculation gives 0.0356 eV per atom. The total energy is -28.70 eV for the cell shown. As for the space group: P1, No. 1. As for the uncorrected formation energy: -115 meV per atom.

a = 3.8901 Å, b = 4.0104 Å, c = 5.6163 Å
α = 78.29°, β = 80.27°, γ = 85.15°
Positions (direct):
Ni (0.0571, 0.9081, 0.5805)
Cu (0.9363, 0.1491, 0.9755)
S (0.8231, 0.4242, 0.5918)
Cu (0.5139, 0.6934, 0.8914)
S (0.3722, 0.0067, 0.1945)
Ni (0.3787, 0.4495, 0.3768)

Below is a geometry-optimized Cu3NiS structure, with properties calculated at the PBE level.

Output
For the energy above the most stable polymorph in this dataset, the calculation gives 0.3804 eV per atom. The total energy is -17.41 eV for the cell shown. As for the space group: Pm-3m, No. 221. As for the uncorrected formation energy: 957 meV per atom.

a = 4.3742 Å, b = 4.3742 Å, c = 4.3742 Å
α = 90.00°, β = 90.00°, γ = 90.00°
Positions (direct):
Cu (0.0000, 0.0000, 0.5000)
Ni (0.0000, 0.0000, 0.0000)
S (0.5000, 0.5000, 0.5000)
Cu (0.5000, 0.0000, 0.0000)
Cu (0.0000, 0.5000, 0.0000)

Below is a geometry-optimized CuNiS2 structure, with properties calculated at the PBE level.

Output
The total energy is -18.20 eV for the cell shown. As for the space group: R3m, No. 160. As for the uncorrected formation energy: -17 meV per atom.

a = 3.3679 Å, b = 3.3679 Å, c = 6.1117 Å
α = 74.01°, β = 74.01°, γ = 60.00°
Positions (direct):
Ni (0.1983, 0.1983, 0.4052)
S (0.9381, 0.9381, 0.1856)
S (0.7743, 0.7743, 0.6772)
Cu (0.3561, 0.3561, 0.9317)

Below is a geometry-optimized CuNiS2 structure, with properties calculated at the PBE level.

Output
The total energy is -36.12 eV for the cell shown. As for the space group: Cmcm, No. 63. As for the uncorrected formation energy: 18 meV per atom.

a = 7.8805 Å, b = 7.8805 Å, c = 4.3574 Å
α = 90.00°, β = 90.00°, γ = 150.90°
Positions (direct):
S (0.2332, 0.7668, 0.2500)
S (0.9438, 0.0562, 0.2500)
Cu (0.6211, 0.3789, 0.7500)
Ni (0.0918, 0.9082, 0.2500)
S (0.0562, 0.9438, 0.7500)
S (0.7668, 0.2332, 0.7500)
Ni (0.9082, 0.0918, 0.7500)
Cu (0.3789, 0.6211, 0.2500)

Below is a geometry-optimized CuNiS structure, with properties calculated at the PBE level.

Output
For the energy above the most stable polymorph in this dataset, the calculation gives 0.0705 eV per atom. The total energy is -28.49 eV for the cell shown. As for the space group: P1, No. 1. As for the uncorrected formation energy: -80 meV per atom.

a = 3.8406 Å, b = 4.0447 Å, c = 6.4831 Å
α = 78.69°, β = 74.07°, γ = 86.40°
Positions (direct):
S (0.2819, 0.6575, 0.7343)
Ni (0.4790, 0.7597, 0.3789)
Ni (0.6997, 0.5677, 0.9270)
S (0.5616, 0.2833, 0.2703)
Cu (0.0844, 0.5463, 0.1804)
Cu (0.2623, 0.1042, 0.8988)

Below is a geometry-optimized CuNiS2 structure, with properties calculated at the PBE level.

Output
The total energy is -18.66 eV for the cell shown. As for the space group: P3m1, No. 156. As for the uncorrected formation energy: -133 meV per atom.

a = 3.7015 Å, b = 3.7015 Å, c = 5.5712 Å
α = 90.00°, β = 90.00°, γ = 120.00°
Positions (direct):
S (0.3333, 0.6667, 0.8030)
Cu (0.0000, 0.0000, 0.9161)
S (0.6667, 0.3333, 0.3265)
Ni (0.3333, 0.6667, 0.4094)

Below is a geometry-optimized CuNiS structure, with properties calculated at the PBE level.

Output
For the energy above the most stable polymorph in this dataset, the calculation gives 0.1535 eV per atom. The total energy is -55.99 eV for the cell shown. As for the space group: Cmce, No. 64. As for the uncorrected formation energy: 3 meV per atom.

a = 6.7749 Å, b = 7.1334 Å, c = 5.0447 Å
α = 134.99°, β = 90.00°, γ = 90.00°
Positions (direct):
S (0.0901, 0.7411, 0.0000)
Ni (0.3257, 0.9440, 0.0000)
Cu (0.0000, 0.1878, 0.3757)
Ni (0.6743, 0.0560, 0.0000)
S (0.4099, 0.2411, 0.0000)
Ni (0.1743, 0.4440, 0.0000)
Cu (0.5000, 0.3122, 0.6243)
S (0.9099, 0.2589, 0.0000)
S (0.5901, 0.7589, 0.0000)
Cu (0.5000, 0.6878, 0.3757)
Ni (0.8257, 0.5560, 0.0000)
Cu (0.0000, 0.8122, 0.6243)

Below is a geometry-optimized CuNiS structure, with properties calculated at the PBE level.

Output
For the energy above the most stable polymorph in this dataset, the calculation gives 0.0167 eV per atom. The total energy is -28.81 eV for the cell shown. As for the space group: P1, No. 1. As for the uncorrected formation energy: -134 meV per atom.

a = 4.1266 Å, b = 4.3153 Å, c = 5.1718 Å
α = 76.67°, β = 76.24°, γ = 79.04°
Positions (direct):
Cu (0.9551, 0.3509, 0.0458)
Ni (0.3344, 0.7217, 0.0768)
Ni (0.7405, 0.8308, 0.3501)
S (0.6078, 0.4938, 0.7473)
S (0.1996, 0.0299, 0.3682)
Cu (0.8543, 0.9418, 0.8014)